A geometry-optimized InSnWO6 structure. Source: Alexandria, functional PBE+U.

Results
Mass density ... 7.164 g cm⁻³
M_tot ... 0.00 μB per formula unit
Electronic total energy ... -6.446 eV/atom
Volume ... 13.2 Å³/atom

abc: 5.4134 5.4134 9.3775
angles: 90.00 90.00 120.00
Space group P-31c (No. 163)
One atom of each set of equivalent atoms:
In 0.3333 0.6667 0.2500 (multiplicity 2)
Sn 0.0000 0.0000 0.0000 (multiplicity 2)
W 0.3333 0.6667 0.7500 (multiplicity 2)
O 0.0303 0.3663 0.6325 (multiplicity 12)